A geometry-optimized NaHfNbCu2 structure. Source: the Alexandria database, functional GGA-PBE.

The calculation puts the density of states at the Fermi level at 1.0921 states/eV/atom. Its formation energy is 1.526 eV per atom. The mass density comes out at 6.6 Mg/m³. For the final energy, the calculation gives -0.32201 Ry per atom.

Cell and atoms, written as POSCAR:
```
NaHfNbCu2
1.0
4.6717 0.0000 0.0000
0.0000 4.6717 0.0000
0.0000 0.0000 4.8318
Na Hf Nb Cu
1 1 1 2
Cartesian
0.0000 0.0000 0.0000 Na
2.3359 2.3359 0.0000 Hf
0.0000 0.0000 2.4159 Nb
0.0000 2.3359 2.4159 Cu
2.3359 0.0000 2.4159 Cu
```